A plane-wave DFT calculation with GGA+U was carried out for a relaxed WSIO2 crystal.

Results
N(E_F)	0.51	states/eV per atom
space group	P4/mmm, No. 123
energy	-5.230	eV per atom

Unit cell a=3.8951 b=3.8951 c=7.5998 alpha=90.00 beta=90.00 gamma=90.00
Last column: magnetic moment on the atom in μB.
Fractional positions:
I  0.0000  0.0000  0.5000  0.01
S  0.5000  0.5000  0.5000  -0.03
O  0.0000  0.5000  0.0000  -0.15
O  0.5000  0.0000  0.0000  -0.15
W  0.0000  0.0000  0.0000  1.80